DFT (PBE+U) results for a relaxed structure of Mg3CrF8.

Computed properties:
- magnetic moment (μB per formula unit) = 4.0
- D(E_F) (states/eV per atom) = 0.550
- E (eV/atom) = -5.434

a b c (Å): 6.1450 6.1450 9.6789
angles (deg): 90.00 90.00 120.00
With the nearest neighbours (Å) after each atom.
Element x y z (fractional)
Mg1 0.8332 0.6663 0.7113  6 F 2.01-2.03
Mg2 0.3337 0.1668 0.7113  6 F 2.01-2.03
Mg3 0.8332 0.1668 0.7113  6 F 2.01-2.03
Mg4 0.1668 0.8332 0.2113  6 F 2.01-2.03
Mg5 0.6663 0.8332 0.2113  6 F 2.01-2.03
Mg6 0.1668 0.3337 0.2113  6 F 2.01-2.03
Cr1 0.6667 0.3333 0.9886  6 F 2.14-2.16
Cr2 0.3333 0.6667 0.4886  6 F 2.14-2.16
F1 0.8359 0.6718 0.1079  2 Mg 2.03, 1 Cr 2.14
F2 0.5230 0.4770 0.8311  2 Mg 2.03, 1 Cr 2.16
F3 0.6667 0.3333 0.6093  3 Mg 2.03
F4 0.0000 0.0000 0.8079  3 Mg 2.01
F5 0.0000 0.0000 0.3079  3 Mg 2.01
F6 0.3282 0.1641 0.1079  2 Mg 2.03, 1 Cr 2.14
F7 0.9540 0.4770 0.8311  2 Mg 2.03, 1 Cr 2.16
F8 0.5230 0.0460 0.8311  2 Mg 2.03, 1 Cr 2.16
F9 0.1641 0.8359 0.6079  2 Mg 2.03, 1 Cr 2.14
F10 0.8359 0.1641 0.1079  2 Mg 2.03, 1 Cr 2.14
F11 0.4770 0.9540 0.3311  2 Mg 2.03, 1 Cr 2.16
F12 0.0460 0.5230 0.3311  2 Mg 2.03, 1 Cr 2.16
F13 0.3333 0.6667 0.1093  3 Mg 2.03
F14 0.6718 0.8359 0.6079  2 Mg 2.03, 1 Cr 2.14
F15 0.4770 0.5230 0.3311  2 Mg 2.03, 1 Cr 2.16
F16 0.1641 0.3282 0.6079  2 Mg 2.03, 1 Cr 2.14